Record 1
Here is a geometry-optimized Sc2PdPb2 structure from Alexandria. Energies are from PBE-GGA.

* distance to the lowest polymorph of the same formula: 83 meV per atom
* density of states at the Fermi level: 0.913 states/eV/atom
* crystal system: tetragonal
* SG: P4/mbm (127)

a b c (Å): 7.1154 7.1154 4.7604
angles (deg): 90.00 90.00 90.00
Closest atoms and distances in Å follow each position.
Fractional coordinates of all 10 atoms:
1 Pb 0.1616 0.6616 0.5000  6 Sc 2.99-3.29, 1 Pb 3.25
2 Pb 0.6616 0.8384 0.5000  6 Sc 2.99-3.29, 1 Pb 3.25
3 Pb 0.8384 0.3384 0.5000  6 Sc 2.99-3.29, 1 Pb 3.25
4 Pb 0.3384 0.1616 0.5000  6 Sc 2.99-3.29, 1 Pb 3.25
5 Sc 0.3415 0.8415 0.0000  2 Pd 2.68, 2 Pb 2.99
6 Sc 0.8415 0.6585 0.0000  2 Pd 2.68, 2 Pb 2.99
7 Sc 0.6585 0.1585 0.0000  2 Pd 2.68, 2 Pb 2.99
8 Sc 0.1585 0.3415 0.0000  2 Pd 2.68, 2 Pb 2.99
9 Pd 0.0000 0.0000 0.0000  4 Sc 2.68
10 Pd 0.5000 0.5000 0.0000  4 Sc 2.68

Record 2
Here is a geometry-optimized ThGa9Rh2 structure from Alexandria. Energies are from PBE-GGA.

* density of states at the Fermi level: 0.553 states/eV/atom
* crystal system: monoclinic
* SG: C2/m (12)

a b c (Å): 7.6183 8.3001 8.2994
angles (deg): 77.99 62.86 62.84
Closest atoms and distances in Å follow each position.
Fractional coordinates of all 24 atoms:
1 Th 0.4990 0.9996 0.9997  16 Ga 3.35-3.43
2 Th 0.2510 0.5004 0.5003  16 Ga 3.35-3.43
3 Ga 0.7500 0.4999 0.4998  4 Rh 2.77-2.78, 8 Ga 2.88
4 Ga 0.0000 0.0001 0.0002  4 Rh 2.77-2.78, 8 Ga 2.88
5 Ga 0.0138 0.9151 0.6742  4 Ga 2.52-2.79, 2 Rh 2.58-2.76
6 Ga 0.6042 0.0847 0.3253  4 Ga 2.51-2.77, 2 Rh 2.58-2.75
7 Ga 0.6786 0.1744 0.5848  4 Ga 2.51-2.78, 2 Rh 2.59-2.76
8 Ga 0.4392 0.8260 0.4145  4 Ga 2.51-2.79, 2 Rh 2.59-2.76
9 Ga 0.7360 0.8258 0.5850  4 Ga 2.52-2.79, 2 Rh 2.58-2.76
10 Ga 0.1457 0.1747 0.4153  4 Ga 2.51-2.77, 2 Rh 2.58-2.75
11 Ga 0.0711 0.9152 0.3257  4 Ga 2.51-2.78, 2 Rh 2.59-2.76
12 Ga 0.3107 0.0854 0.6740  4 Ga 2.51-2.79, 2 Rh 2.59-2.76
13 Ga 0.7362 0.5849 0.8258  4 Ga 2.52-2.79, 2 Rh 2.58-2.76
14 Ga 0.1458 0.4153 0.1747  4 Ga 2.51-2.77, 2 Rh 2.58-2.75
15 Ga 0.0714 0.3256 0.9152  4 Ga 2.51-2.78, 2 Rh 2.59-2.76
16 Ga 0.3108 0.6740 0.0855  4 Ga 2.51-2.79, 2 Rh 2.59-2.76
17 Ga 0.0140 0.6742 0.9150  4 Ga 2.52-2.79, 2 Rh 2.58-2.76
18 Ga 0.6043 0.3253 0.0847  4 Ga 2.51-2.77, 2 Rh 2.58-2.75
19 Ga 0.6789 0.5848 0.1743  4 Ga 2.51-2.78, 2 Rh 2.59-2.76
20 Ga 0.4393 0.4146 0.8260  4 Ga 2.51-2.79, 2 Rh 2.59-2.76
21 Rh 0.8750 0.2500 0.7500  10 Ga 2.58-2.78
22 Rh 0.8750 0.7500 0.2500  10 Ga 2.58-2.78
23 Rh 0.8750 0.2500 0.2500  10 Ga 2.59-2.77
24 Rh 0.3750 0.7500 0.7500  10 Ga 2.59-2.78

Record 3
Here is a geometry-optimized Cs2SbCl8 structure from Alexandria. Energies are from PBE-GGA.

* formation energy without anion corrections: -103.9 kJ per mole of atoms
* crystal system: monoclinic
* SG: C2/m (12)

a b c (Å): 6.7308 10.1713 8.2150
angles (deg): 128.25 94.56 90.00
Closest atoms and distances in Å follow each position.
Fractional coordinates of all 11 atoms:
1 Cs 0.1720 0.6696 0.3393  6 Cl 3.44-3.71
2 Cs 0.8280 0.3304 0.6607  6 Cl 3.44-3.71
3 Sb 0.0000 0.0000 0.0000  6 Cl 2.42
4 Cl 0.8074 0.2451 0.1506  1 Sb 2.42
5 Cl 0.8074 0.9055 0.1506  1 Sb 2.42
6 Cl 0.1926 0.7549 0.8494  1 Sb 2.42
7 Cl 0.3638 0.4198 0.8397  1 Cl 2.62
8 Cl 0.1926 0.0945 0.8494  1 Sb 2.42
9 Cl 0.7684 0.8435 0.6869  1 Sb 2.42
10 Cl 0.2316 0.1565 0.3131  1 Sb 2.42
11 Cl 0.6362 0.5802 0.1603  1 Cl 2.62

Record 4
Here is a geometry-optimized BaLiEuGa structure from Alexandria. Energies are from PBE-GGA.

* density of states at the Fermi level: 2.708 states/eV/atom
* crystal system: cubic
* SG: F-43m (216)

a b c (Å): 5.6858 5.6858 5.6858
angles (deg): 60.00 60.00 60.00
Closest atoms and distances in Å follow each position.
Fractional coordinates of all 4 atoms:
1 Eu 0.0000 0.0000 0.0000  4 Li 3.48, 4 Ga 3.48
2 Ba 0.5000 0.5000 0.5000  4 Li 3.48, 4 Ga 3.48
3 Ga 0.2500 0.2500 0.2500  4 Eu 3.48, 4 Ba 3.48
4 Li 0.7500 0.7500 0.7500  4 Ba 3.48, 4 Eu 3.48

One value per record, in order, for electronic total energy: -5.330, -4.488, -2.950, -4.437 eV per atom.
One value per record, in order, for total magnetic moment: 0.00, 0.00, 1.00, 7.15 μB/f.u..